The following is a SCAN calculation of a PBEsol-optimized structure of ZnSnRh3, from Alexandria via LeMat-Bulk.

Output
* calculated formation energy: 1.173 eV/atom
* total moment: 0.98 μB per formula unit
* V: 106.7 Å³/f.u.
* final energy: -144.89 eV/cell
* DOS at the Fermi energy: 1.90 states/eV per cell

a = 4.7431 Å, b = 4.7431 Å, c = 4.7431 Å
α = 90.00°, β = 90.00°, γ = 90.00°
Each line ends with the local moment (μB).
Fractional coordinates of all 5 atoms:
Rh 0.0000 0.0000 0.5000  0.40
Rh 0.5000 0.0000 0.0000  0.40
Rh 0.0000 0.5000 0.0000  0.40
Sn 0.0000 0.0000 0.0000  -0.06
Zn 0.5000 0.5000 0.5000  -0.02

The following is a SCAN calculation of a PBEsol-optimized structure of ZnSn2Rh2, from Alexandria via LeMat-Bulk.

Output
* calculated formation energy: -0.330 eV/atom
* total moment: 0.00 μB per formula unit
* V: 85.3 Å³/f.u.
* final energy: -309.10 eV/cell
* DOS at the Fermi energy: 2.41 states/eV per cell
* energy relative to the lowest polymorph listed for this composition: 0 meV/atom

a = 3.5219 Å, b = 6.9589 Å, c = 6.9589 Å
α = 90.00°, β = 90.00°, γ = 90.00°
Fractional coordinates of all 10 atoms:
Sn 0.5000 0.6541 0.8459
Sn 0.5000 0.3459 0.1541
Sn 0.5000 0.1541 0.6541
Sn 0.5000 0.8459 0.3459
Zn 0.0000 0.0000 0.0000
Zn 0.0000 0.5000 0.5000
Rh 0.0000 0.8524 0.6476
Rh 0.0000 0.3524 0.8524
Rh 0.0000 0.6476 0.1476
Rh 0.0000 0.1476 0.3524

The following is a SCAN calculation of a PBEsol-optimized structure of ZnSn2Rh2, from Alexandria via LeMat-Bulk.

Output
* calculated formation energy: 0.065 eV/atom
* total moment: 0.00 μB per formula unit
* V: 96.4 Å³/f.u.
* final energy: -152.58 eV/cell
* DOS at the Fermi energy: 2.65 states/eV per cell
* energy relative to the lowest polymorph listed for this composition: 395 meV/atom

a = 4.0667 Å, b = 4.0667 Å, c = 6.4985 Å
α = 108.23°, β = 108.23°, γ = 90.00°
Fractional coordinates of all 5 atoms:
Zn 0.0000 0.0000 0.0000
Rh 0.3925 0.3925 0.7850
Rh 0.6075 0.6075 0.2150
Sn 0.7500 0.2500 0.5000
Sn 0.2500 0.7500 0.5000

The following is a SCAN calculation of a PBEsol-optimized structure of ZrSn2Rh, from Alexandria via LeMat-Bulk.

Output
* calculated formation energy: -0.227 eV/atom
* total moment: 1.09 μB per formula unit
* V: 76.6 Å³/f.u.
* final energy: -137.22 eV/cell
* DOS at the Fermi energy: 2.74 states/eV per cell

a = 4.7677 Å, b = 4.7677 Å, c = 4.7677 Å
α = 60.00°, β = 60.00°, γ = 60.00°
Each line ends with the local moment (μB).
Fractional coordinates of all 4 atoms:
Sn 0.2500 0.2500 0.2500  0.04
Sn 0.7500 0.7500 0.7500  0.04
Rh 0.5000 0.5000 0.5000  0.14
Zr 0.0000 0.0000 0.0000  0.64